# 1
## InCuSbS4 (PBE)

Data for an optimized crystal structure of InCuSbS4.

abc: 7.2886 7.4668 11.6598
angles: 90.00 90.00 90.00
Last column: nearest neighbours and their distance in Å.
Space group Imma (No. 74)
Unique sites:
In 0.0000 0.2500 0.1547  4 S 2.53-2.54
Cu 0.2500 0.2500 0.7500  4 S 2.40
Sb 0.0000 0.0000 0.5000  6 S 2.69-2.76
S 0.0000 0.0428 0.7353  2 Cu 2.40, 1 In 2.54
S 0.2344 0.2500 0.9949  1 In 2.53, 2 Sb 2.69

Calculated values
Formation energy from raw total energies: -1.633 eV per formula unit

# 2
## Th6Te3P2Ir (PBE)

Data for an optimized crystal structure of Th6Te3P2Ir.

abc: 19.2734 4.1751 8.9659
angles: 90.00 106.67 90.00
Last column: nearest neighbours and their distance in Å.
Space group C2/m (No. 12)
Unique sites:
Th 0.0081 0.0000 0.2198  2 Ir 2.84, 1 P 2.94
Th 0.1593 0.5000 0.1106  2 P 2.88, 1 Ir 2.94
Th 0.1759 0.5000 0.5604  3 P 2.87-2.90
Te 0.0000 0.5000 0.5000  6 Th 3.28-3.30
Te 0.1671 0.0000 0.8336  6 Th 3.24-3.28
P 0.1672 0.0000 0.3366  6 Th 2.87-2.94
Ir 0.0000 0.5000 0.0000  6 Th 2.84-2.94

Calculated values
Formation energy from raw total energies: -15.249 eV per formula unit

Number 1: total magnetization 0.0001 μB/atom. Number 2: total magnetization 0.0000 μB/atom.